Entry 1:
# InBrCl (PBE, optimized geometry)
# magnetization: 0.0 μB/f.u.
# formation energy without anion corrections: -0.861 eV/atom
data_InBrCl
_space_group_name_H-M_alt 'C 1 2/m 1'
_space_group_IT_number 12
_cell_length_a 13.961
_cell_length_b 4.080
_cell_length_c 8.142
_cell_angle_alpha 90.00
_cell_angle_beta 110.11
_cell_angle_gamma 90.00
loop_
_space_group_symop_operation_xyz
'x,y,z'
'-x,-y,-z'
'-x,y,-z'
'x,-y,z'
'x+1/2,y+1/2,z'
'-x+1/2,-y+1/2,-z'
'-x+1/2,y+1/2,-z'
'x+1/2,-y+1/2,z'
loop_
_atom_site_label
_atom_site_type_symbol
_atom_site_fract_x
_atom_site_fract_y
_atom_site_fract_z
_atom_site_occupancy
In1 In 0.000 0.000 0.000 1
In2 In 0.000 0.500 0.500 1
Br1 Br 0.121 0.000 0.441 1
Cl1 Cl 0.107 0.500 0.815 1

Entry 2:
# SmTiIr (PBE, optimized geometry)
# magnetization: 0.0 μB/f.u.
# formation energy: -0.675 eV per atom
data_SmTiIr
_space_group_name_H-M_alt 'P 4/n m m'
_space_group_IT_number 129
_cell_length_a 4.415
_cell_length_b 4.415
_cell_length_c 6.654
_cell_angle_alpha 90.00
_cell_angle_beta 90.00
_cell_angle_gamma 90.00
loop_
_space_group_symop_operation_xyz
'x,y,z'
'-x,-y,-z'
'-y+1/2,x,z'
'y+1/2,-x,-z'
'-x+1/2,-y+1/2,z'
'x+1/2,y+1/2,-z'
'y,-x+1/2,z'
'-y,x+1/2,-z'
'x+1/2,-y,-z'
'-x+1/2,y,z'
'-y,-x,-z'
'y,x,z'
'-x,y+1/2,-z'
'x,-y+1/2,z'
'y+1/2,x+1/2,-z'
'-y+1/2,-x+1/2,z'
loop_
_atom_site_label
_atom_site_type_symbol
_atom_site_fract_x
_atom_site_fract_y
_atom_site_fract_z
_atom_site_occupancy
Sm1 Sm 0.250 0.250 0.143 1
Ti1 Ti 0.250 0.750 0.500 1
Ir1 Ir 0.250 0.250 0.699 1

Entry 3:
# LiTb2Zn (PBE, optimized geometry)
# magnetization: 0.0 μB/f.u.
# formation energy: -0.124 eV per atom
# E above lowest polymorph: 0 meV per atom
data_LiTb2Zn
_space_group_name_H-M_alt 'P 4/m m m'
_space_group_IT_number 123
_space_group_name_Hall '-P 4 2'
_cell_length_a 5.092
_cell_length_b 5.092
_cell_length_c 3.676
_cell_angle_alpha 90.00
_cell_angle_beta 90.00
_cell_angle_gamma 90.00
loop_
_atom_site_label
_atom_site_type_symbol
_atom_site_fract_x
_atom_site_fract_y
_atom_site_fract_z
_atom_site_occupancy
Li1 Li 0.000 0.000 0.000 1
Tb1 Tb 0.000 0.500 0.500 1
Zn1 Zn 0.500 0.500 0.000 1

Entry 4:
# SiRu2Se (PBE, optimized geometry)
# magnetization: 0.0 μB/f.u.
# formation energy without anion corrections: 0.261 eV/atom
# E above lowest polymorph: 442 meV per atom
data_SiRu2Se
_space_group_name_H-M_alt 'P m m m'
_space_group_IT_number 47
_cell_length_a 2.946
_cell_length_b 4.019
_cell_length_c 5.084
_cell_angle_alpha 90.00
_cell_angle_beta 90.00
_cell_angle_gamma 90.00
loop_
_space_group_symop_operation_xyz
'x,y,z'
'-x,-y,-z'
'-x,-y,z'
'x,y,-z'
'x,-y,-z'
'-x,y,z'
'-x,y,-z'
'x,-y,z'
loop_
_atom_site_label
_atom_site_type_symbol
_atom_site_fract_x
_atom_site_fract_y
_atom_site_fract_z
_atom_site_occupancy
Si1 Si 0.000 0.000 0.000 1
Ru1 Ru 0.000 0.500 0.500 1
Ru2 Ru 0.500 0.500 0.000 1
Se1 Se 0.500 0.000 0.500 1

Entry 5:
# La2PaTc2 (PBE, optimized geometry)
# magnetization: 0.0 μB/f.u.
# formation energy: -0.197 eV per atom
data_La2PaTc2
_space_group_name_H-M_alt 'I m m m'
_space_group_IT_number 71
_space_group_name_Hall '-I 2 2'
_cell_length_a 4.324
_cell_length_b 5.786
_cell_length_c 10.086
_cell_angle_alpha 90.00
_cell_angle_beta 90.00
_cell_angle_gamma 90.00
loop_
_atom_site_label
_atom_site_type_symbol
_atom_site_fract_x
_atom_site_fract_y
_atom_site_fract_z
_atom_site_occupancy
La1 La 0.000 0.000 0.195 1
Pa1 Pa 0.000 0.500 0.000 1
Tc1 Tc 0.000 0.247 0.500 1

Entry 6:
# ScBeRh (PBE, optimized geometry)
# magnetization: 0.0 μB/f.u.
# formation energy: -0.411 eV per atom
# E above lowest polymorph: 246 meV per atom
data_ScBeRh
_space_group_name_H-M_alt 'C m c m'
_space_group_IT_number 63
_space_group_name_Hall '-C 2c 2'
_cell_length_a 4.888
_cell_length_b 7.334
_cell_length_c 5.203
_cell_angle_alpha 90.00
_cell_angle_beta 90.00
_cell_angle_gamma 90.00
loop_
_atom_site_label
_atom_site_type_symbol
_atom_site_fract_x
_atom_site_fract_y
_atom_site_fract_z
_atom_site_occupancy
Sc1 Sc 0.000 0.151 0.250 1
Be1 Be 0.000 0.500 0.000 1
Rh1 Rh 0.000 0.233 0.750 1

Entry 7:
# Al2TcCl (PBE, optimized geometry)
# magnetization: 0.0 μB/f.u.
# formation energy without anion corrections: -0.067 eV/atom
# E above lowest polymorph: 355 meV per atom
data_Al2TcCl
_space_group_name_H-M_alt 'C 1 m 1'
_space_group_IT_number 8
_cell_length_a 9.854
_cell_length_b 2.912
_cell_length_c 4.520
_cell_angle_alpha 90.00
_cell_angle_beta 96.54
_cell_angle_gamma 90.00
loop_
_space_group_symop_operation_xyz
'x,y,z'
'x,-y,z'
'x+1/2,y+1/2,z'
'x+1/2,-y+1/2,z'
loop_
_atom_site_label
_atom_site_type_symbol
_atom_site_fract_x
_atom_site_fract_y
_atom_site_fract_z
_atom_site_occupancy
Al1 Al 0.000 0.000 0.000 1
Al2 Al 0.199 0.500 0.590 1
Tc1 Tc 0.262 0.000 0.093 1
Cl1 Cl 0.453 0.000 0.520 1

Entry 8:
# ScIn2S4 (PBE, optimized geometry)
# magnetization: 0.0 μB/f.u.
# formation energy without anion corrections: -0.961 eV/atom
# E above lowest polymorph: 0 meV per atom
data_ScIn2S4
_space_group_name_H-M_alt 'I m m a'
_space_group_IT_number 74
_space_group_name_Hall '-I 2b 2'
_cell_length_a 7.713
_cell_length_b 7.821
_cell_length_c 11.106
_cell_angle_alpha 90.00
_cell_angle_beta 90.00
_cell_angle_gamma 90.00
loop_
_atom_site_label
_atom_site_type_symbol
_atom_site_fract_x
_atom_site_fract_y
_atom_site_fract_z
_atom_site_occupancy
Sc1 Sc 0.250 0.250 0.250 1
In1 In 0.000 0.000 0.000 1
In2 In 0.000 0.250 0.626 1
S1 S 0.000 0.024 0.243 1
S2 S 0.234 0.250 0.015 1

Entry 9:
# TiV2SnH (PBE, optimized geometry)
# magnetization: 0.0 μB/f.u.
# uncorrected energy: -6.8950 eV/atom
data_TiV2SnH
_space_group_name_H-M_alt 'P 4/m m m'
_space_group_IT_number 123
_space_group_name_Hall '-P 4 2'
_cell_length_a 3.962
_cell_length_b 3.962
_cell_length_c 4.180
_cell_angle_alpha 90.00
_cell_angle_beta 90.00
_cell_angle_gamma 90.00
loop_
_atom_site_label
_atom_site_type_symbol
_atom_site_fract_x
_atom_site_fract_y
_atom_site_fract_z
_atom_site_occupancy
Ti1 Ti 0.000 0.000 0.000 1
V1 V 0.000 0.500 0.500 1
Sn1 Sn 0.500 0.500 0.000 1
H1 H 0.000 0.000 0.500 1

Entry 10:
# Pm4Pr2DyHo2 (PBE, optimized geometry)
# magnetization: 0.0 μB/f.u.
# formation energy: 0.020 eV per atom
data_Pm4Pr2DyHo2
_space_group_name_H-M_alt 'C 1 2/m 1'
_space_group_IT_number 12
_cell_length_a 15.410
_cell_length_b 5.136
_cell_length_c 8.082
_cell_angle_alpha 90.00
_cell_angle_beta 108.58
_cell_angle_gamma 90.00
loop_
_space_group_symop_operation_xyz
'x,y,z'
'-x,-y,-z'
'-x,y,-z'
'x,-y,z'
'x+1/2,y+1/2,z'
'-x+1/2,-y+1/2,-z'
'-x+1/2,y+1/2,-z'
'x+1/2,-y+1/2,z'
loop_
_atom_site_label
_atom_site_type_symbol
_atom_site_fract_x
_atom_site_fract_y
_atom_site_fract_z
_atom_site_occupancy
Pm1 Pm 0.056 0.000 0.330 1
Pm2 Pm 0.221 0.500 0.330 1
Pr1 Pr 0.112 0.500 0.669 1
Dy1 Dy 0.000 0.500 0.000 1
Ho1 Ho 0.167 0.000 0.000 1

Entry 11:
# TbAlPt (PBE, optimized geometry)
# magnetization: 0.0 μB/f.u.
# formation energy: -1.155 eV per atom
data_TbAlPt
_space_group_name_H-M_alt 'P n m a'
_space_group_IT_number 62
_cell_length_a 6.945
_cell_length_b 4.436
_cell_length_c 7.765
_cell_angle_alpha 90.00
_cell_angle_beta 90.00
_cell_angle_gamma 90.00
loop_
_space_group_symop_operation_xyz
'x,y,z'
'-x,-y,-z'
'-x+1/2,-y,z+1/2'
'x+1/2,y,-z+1/2'
'x+1/2,-y+1/2,-z+1/2'
'-x+1/2,y+1/2,z+1/2'
'-x,y+1/2,-z'
'x,-y+1/2,z'
loop_
_atom_site_label
_atom_site_type_symbol
_atom_site_fract_x
_atom_site_fract_y
_atom_site_fract_z
_atom_site_occupancy
Tb1 Tb 0.028 0.250 0.182 1
Al1 Al 0.146 0.250 0.565 1
Pt1 Pt 0.226 0.750 0.386 1

Entry 12:
# BePdW (PBE, optimized geometry)
# magnetization: 0.0 μB/f.u.
# formation energy: -0.152 eV per atom
# E above lowest polymorph: 46 meV per atom
data_BePdW
_space_group_name_H-M_alt 'I 4 m m'
_space_group_IT_number 107
_space_group_name_Hall 'I 4 -2'
_cell_length_a 2.749
_cell_length_b 2.749
_cell_length_c 10.268
_cell_angle_alpha 90.00
_cell_angle_beta 90.00
_cell_angle_gamma 90.00
loop_
_atom_site_label
_atom_site_type_symbol
_atom_site_fract_x
_atom_site_fract_y
_atom_site_fract_z
_atom_site_occupancy
Be1 Be 0.000 0.000 0.000 1
Pd1 Pd 0.000 0.000 0.363 1
W1 W 0.000 0.000 0.662 1

Entry 13:
# Ce2GaCoAu (PBE, optimized geometry)
# magnetization: 0.5 μB/f.u.
# formation energy: -0.503 eV per atom
data_Ce2GaCoAu
_space_group_name_H-M_alt 'P 1 21/m 1'
_space_group_IT_number 11
_cell_length_a 7.218
_cell_length_b 4.304
_cell_length_c 7.239
_cell_angle_alpha 90.00
_cell_angle_beta 109.66
_cell_angle_gamma 90.00
loop_
_space_group_symop_operation_xyz
'x,y,z'
'-x,-y,-z'
'-x,y+1/2,-z'
'x,-y+1/2,z'
loop_
_atom_site_label
_atom_site_type_symbol
_atom_site_fract_x
_atom_site_fract_y
_atom_site_fract_z
_atom_site_occupancy
Ce1 Ce 0.033 0.250 0.219 1
Ce2 Ce 0.346 0.750 0.619 1
Ga1 Ga 0.326 0.250 0.941 1
Co1 Co 0.095 0.250 0.602 1
Au1 Au 0.336 0.750 0.177 1

Entry 14:
# MnP4Se (PBE, optimized geometry)
# magnetization: 5.0 μB/f.u.
# formation energy without anion corrections: 0.596 eV/atom
data_MnP4Se
_space_group_name_H-M_alt 'F -4 3 m'
_space_group_IT_number 216
_space_group_name_Hall 'F -4 2 3'
_cell_length_a 7.806
_cell_length_b 7.806
_cell_length_c 7.806
_cell_angle_alpha 90.00
_cell_angle_beta 90.00
_cell_angle_gamma 90.00
loop_
_atom_site_label
_atom_site_type_symbol
_atom_site_fract_x
_atom_site_fract_y
_atom_site_fract_z
_atom_site_occupancy
Mn1 Mn 0.000 0.000 0.000 1
P1 P 0.101 0.101 0.399 1
Se1 Se 0.250 0.250 0.750 1

Entry 15:
# Fe2Ni8Pt (PBE, optimized geometry)
# magnetization: 10.7 μB/f.u.
# formation energy: 0.056 eV per atom
# E above lowest polymorph: 0 meV per atom
data_Fe2Ni8Pt
_space_group_name_H-M_alt 'I m m m'
_space_group_IT_number 71
_space_group_name_Hall '-I 2 2'
_cell_length_a 3.825
_cell_length_b 6.182
_cell_length_c 11.185
_cell_angle_alpha 90.00
_cell_angle_beta 90.00
_cell_angle_gamma 90.00
loop_
_atom_site_label
_atom_site_type_symbol
_atom_site_fract_x
_atom_site_fract_y
_atom_site_fract_z
_atom_site_occupancy
Fe1 Fe 0.000 0.000 0.194 1
Ni1 Ni 0.000 0.202 0.000 1
Ni2 Ni 0.000 0.287 0.345 1
Ni3 Ni 0.000 0.500 0.159 1
Pt1 Pt 0.000 0.000 0.500 1

Entry 16:
# UAgPbAu (PBE, optimized geometry)
# magnetization: 2.8 μB/f.u.
# formation energy: 0.092 eV per atom
data_UAgPbAu
_space_group_name_H-M_alt 'F -4 3 m'
_space_group_IT_number 216
_space_group_name_Hall 'F -4 2 3'
_cell_length_a 7.186
_cell_length_b 7.186
_cell_length_c 7.186
_cell_angle_alpha 90.00
_cell_angle_beta 90.00
_cell_angle_gamma 90.00
loop_
_atom_site_label
_atom_site_type_symbol
_atom_site_fract_x
_atom_site_fract_y
_atom_site_fract_z
_atom_site_occupancy
U1 U 0.000 0.000 0.000 1
Ag1 Ag 0.250 0.250 0.250 1
Pb1 Pb 0.000 0.000 0.500 1
Au1 Au 0.250 0.250 0.750 1

Entry 17:
# Fe3Si (PBE, optimized geometry)
# magnetization: 2.2 μB/f.u.
# formation energy without anion corrections: -0.019 eV/atom
data_Fe3Si
_space_group_name_H-M_alt 'P -6 m 2'
_space_group_IT_number 187
_space_group_name_Hall 'P -6 2'
_cell_length_a 2.5827
_cell_length_b 2.5827
_cell_length_c 7.5077
_cell_angle_alpha 90.00
_cell_angle_beta 90.00
_cell_angle_gamma 120.00
loop_
_atom_site_label
_atom_site_type_symbol
_atom_site_fract_x
_atom_site_fract_y
_atom_site_fract_z
_atom_site_occupancy
Fe1 Fe 0.0000 0.0000 0.0000 1
Fe2 Fe 0.3333 0.6667 0.2582 1
Si1 Si 0.0000 0.0000 0.5000 1

Entry 18:
# Tl3Zn2Br8 (PBE, optimized geometry)
# magnetization: 0.0 μB/f.u.
# formation energy without anion corrections: -0.735 eV/atom
data_Tl3Zn2Br8
_space_group_name_H-M_alt 'R -3 m'
_space_group_IT_number 166
_space_group_name_Hall '-R 3 2"'
_cell_length_a 7.7601
_cell_length_b 7.7601
_cell_length_c 25.9459
_cell_angle_alpha 90.00
_cell_angle_beta 90.00
_cell_angle_gamma 120.00
loop_
_atom_site_label
_atom_site_type_symbol
_atom_site_fract_x
_atom_site_fract_y
_atom_site_fract_z
_atom_site_occupancy
Tl1 Tl 0.0000 0.0000 0.0000 1
Tl2 Tl 0.0000 0.0000 0.1974 1
Zn1 Zn 0.0000 0.0000 0.4070 1
Br1 Br 0.0000 0.0000 0.3138 1
Br2 Br 0.0123 0.5062 0.7669 1

Entry 19:
# CrFe3 (PBE, optimized geometry)
# magnetization: 4.9 μB/f.u.
# formation energy: 1.765 eV per atom
data_CrFe3
_space_group_name_H-M_alt 'P m -3 m'
_space_group_IT_number 221
_space_group_name_Hall '-P 4 2 3'
_cell_length_a 4.252
_cell_length_b 4.252
_cell_length_c 4.252
_cell_angle_alpha 90.00
_cell_angle_beta 90.00
_cell_angle_gamma 90.00
loop_
_atom_site_label
_atom_site_type_symbol
_atom_site_fract_x
_atom_site_fract_y
_atom_site_fract_z
_atom_site_occupancy
Cr1 Cr 0.000 0.000 0.000 1
Fe1 Fe 0.000 0.000 0.500 1

Entry 20:
# Ni3AsOs (PBE, optimized geometry)
# magnetization: 0.0 μB/f.u.
# formation energy: 1.372 eV per atom
# E above lowest polymorph: 316 meV per atom
data_Ni3AsOs
_space_group_name_H-M_alt 'P m -3 m'
_space_group_IT_number 221
_space_group_name_Hall '-P 4 2 3'
_cell_length_a 4.499
_cell_length_b 4.499
_cell_length_c 4.499
_cell_angle_alpha 90.00
_cell_angle_beta 90.00
_cell_angle_gamma 90.00
loop_
_atom_site_label
_atom_site_type_symbol
_atom_site_fract_x
_atom_site_fract_y
_atom_site_fract_z
_atom_site_occupancy
Ni1 Ni 0.000 0.000 0.500 1
As1 As 0.500 0.500 0.500 1
Os1 Os 0.000 0.000 0.000 1

Entry 21:
# Ta2TcHg (PBE, optimized geometry)
# magnetization: 0.3 μB/f.u.
# formation energy: 0.356 eV per atom
data_Ta2TcHg
_space_group_name_H-M_alt 'P 4 m m'
_space_group_IT_number 99
_cell_length_a 2.832
_cell_length_b 2.832
_cell_length_c 8.995
_cell_angle_alpha 90.00
_cell_angle_beta 90.00
_cell_angle_gamma 90.00
loop_
_space_group_symop_operation_xyz
'x,y,z'
'-y,x,z'
'-x,-y,z'
'y,-x,z'
'-x,y,z'
'y,x,z'
'x,-y,z'
'-y,-x,z'
loop_
_atom_site_label
_atom_site_type_symbol
_atom_site_fract_x
_atom_site_fract_y
_atom_site_fract_z
_atom_site_occupancy
Ta1 Ta 0.000 0.000 0.000 1
Ta2 Ta 0.500 0.500 0.253 1
Tc1 Tc 0.000 0.000 0.490 1
Hg1 Hg 0.500 0.500 0.737 1

Entry 22:
# K2AgBiCl (PBE, optimized geometry)
# magnetization: 1.0 μB/f.u.
# formation energy without anion corrections: -0.170 eV/atom
# E above lowest polymorph: 245 meV per atom
data_K2AgBiCl
_space_group_name_H-M_alt 'P 4/m m m'
_space_group_IT_number 123
_space_group_name_Hall '-P 4 2'
_cell_length_a 6.689
_cell_length_b 6.689
_cell_length_c 4.735
_cell_angle_alpha 90.00
_cell_angle_beta 90.00
_cell_angle_gamma 90.00
loop_
_atom_site_label
_atom_site_type_symbol
_atom_site_fract_x
_atom_site_fract_y
_atom_site_fract_z
_atom_site_occupancy
K1 K 0.000 0.500 0.000 1
Ag1 Ag 0.000 0.000 0.000 1
Bi1 Bi 0.500 0.500 0.500 1
Cl1 Cl 0.000 0.000 0.500 1

What did we get for density? Answer: 3.51; 10.00; 6.80; 8.53; 9.28; 5.59; 4.83; 3.99; 6.82; 7.42; 10.58; 12.81; 9.50; 3.60; 9.75; 13.43; 7.49; 5.09; 4.74; 8.05; 15.21; 3.37 Mg/m³, in the order shown.